Density functional theory data (PBE) for a geometry-optimized NaO2F2 structure.

Results
Energy above the most stable polymorph in this dataset = 0.00 eV per formula unit
Formation energy (no corrections) = -1119 meV/atom

Cell and atoms, written as CIF:
```
data_NaO2F2
_chemical_formula_sum 'Na2 O4 F4'
_cell_length_a 6.248
_cell_length_b 3.566
_cell_length_c 6.955
_cell_angle_alpha 90.00
_cell_angle_beta 100.09
_cell_angle_gamma 90.00
_symmetry_space_group_name_H-M 'C 1 2/m 1'
_symmetry_Int_Tables_number 12
loop_
_symmetry_equiv_pos_as_xyz
'x,y,z'
'-x,-y,-z'
'-x,y,-z'
'x,-y,z'
'x+1/2,y+1/2,z'
'-x+1/2,-y+1/2,-z'
'-x+1/2,y+1/2,-z'
'x+1/2,-y+1/2,z'
loop_
_atom_site_label
_atom_site_fract_x
_atom_site_fract_y
_atom_site_fract_z
_atom_site_occupancy
Na1 0.000 0.000 0.000 1
O1 0.092 0.500 0.544 1
F1 0.135 0.500 0.837 1
```

=====

Density functional theory data (PBE) for a geometry-optimized LaYHg2 structure.

Results
Formation energy = -0.350 eV/atom

Cell and atoms, written as CIF:
```
data_LaYHg2
_chemical_formula_sum 'La2 Y2 Hg4'
_cell_length_a 9.420
_cell_length_b 3.941
_cell_length_c 6.809
_cell_angle_alpha 90.00
_cell_angle_beta 104.44
_cell_angle_gamma 90.00
_symmetry_space_group_name_H-M 'C 1 2/m 1'
_symmetry_Int_Tables_number 12
loop_
_symmetry_equiv_pos_as_xyz
'x,y,z'
'-x,-y,-z'
'-x,y,-z'
'x,-y,z'
'x+1/2,y+1/2,z'
'-x+1/2,-y+1/2,-z'
'-x+1/2,y+1/2,-z'
'x+1/2,-y+1/2,z'
loop_
_atom_site_label
_atom_site_fract_x
_atom_site_fract_y
_atom_site_fract_z
_atom_site_occupancy
La1 0.000 0.000 0.000 1
Y1 0.000 0.500 0.500 1
Hg1 0.245 0.000 0.722 1
```

=====

no.,magnetic moment (μB per formula unit),calculated volume (Å³/f.u.),uncorrected energy (eV per atom)
1,1.00,76,-4.11
2,0.00,122,-3.35